# 1
The following is a PBE calculation of CaCoBr after structural relaxation, from Alexandria.

a b c (Å): 5.632 3.886 7.979
angles (deg): 75.90 98.53 69.82
Element x y z (fractional)
Br  0.251  0.460  0.521
Ca  0.692  0.726  0.551
Co  0.852  0.444  0.955
Br  0.670  0.401  0.221
Ca  0.396  0.191  0.916
Co  0.925  0.963  0.843

## Properties
**Raw formation energy**: -0.58 eV/atom
**Density**: 3.866 g cm⁻³
**Raw total energy**: -25.02 eV for the cell shown
**V**: 153.7 Å³/cell



# 2
The following is a PBE calculation of CaCoBr2 after structural relaxation, from Alexandria.

a b c (Å): 7.322 7.322 7.322
angles (deg): 150.06 143.13 48.20
Element x y z (fractional)
Br  0.119  0.119  0.000
Br  0.381  0.381  0.000
Co  0.250  0.750  0.500
Ca  0.750  0.250  0.500

## Properties
**Raw formation energy**: -0.65 eV/atom
**Density**: 3.671 g cm⁻³
**Polymorph energy (0 for the lowest one)**: 69.9 meV per atom
**Raw total energy**: -15.05 eV for the cell shown
**V**: 117.1 Å³/cell



# 3
The following is a PBE calculation of Ca2CoBr after structural relaxation, from Alexandria.

a b c (Å): 4.204 4.183 5.983
angles (deg): 90.00 90.00 90.00
Element x y z (fractional)
Br  0.500  0.500  0.850
Ca  0.000  0.000  0.929
Ca  0.500  0.500  0.358
Co  0.000  0.000  0.363

## Properties
**Raw formation energy**: -0.31 eV/atom
**Density**: 3.457 g cm⁻³
**Polymorph energy (0 for the lowest one)**: 152.2 meV per atom
**Raw total energy**: -14.03 eV for the cell shown
**V**: 105.2 Å³/cell